(1)
The following is a DFT calculation (PBE-GGA) of an optimized crystal structure of La2Pm5Er2.

## Properties
- energy of formation (meV per atom) = 206
- VASP energy (eV per atom) = -4.542
- density of states at the Fermi level (states/eV/cell) = 12.6
- E above lowest polymorph (meV per atom) = 12

Unit cell a=11.2610 b=11.2610 c=8.3728 alpha=100.13 beta=100.13 gamma=18.11
Last column: nearest neighbours and their distance in Å.
Sites, in units of the cell vectors:
La  0.1771  0.1771  0.1484  2 La 3.54, 5 Pm 3.59-3.91
La  0.8229  0.8229  0.8516  2 La 3.54, 5 Pm 3.59-3.91
Pm  0.0000  0.0000  0.0000  4 Pm 3.30-3.54, 4 Er 3.49
Pm  0.0935  0.0935  0.7358  5 Pm 3.30-3.54, 4 Er 3.56-3.60, 1 La 3.62
Pm  0.3096  0.3096  0.4632  1 Er 3.26, 6 Pm 3.34-3.54, 1 La 3.59
Pm  0.6904  0.6904  0.5368  1 Er 3.26, 6 Pm 3.34-3.54, 1 La 3.59
Pm  0.9065  0.9065  0.2642  5 Pm 3.30-3.54, 4 Er 3.56-3.60, 1 La 3.62
Er  0.4527  0.4527  0.6409  7 Pm 3.26-3.60, 3 Er 3.43-3.54
Er  0.5473  0.5473  0.3591  7 Pm 3.26-3.60, 3 Er 3.43-3.54

(2)
The following is a DFT calculation (PBE-GGA) of an optimized crystal structure of Li4ZnAu7.

## Properties
- energy of formation (meV per atom) = -318
- VASP energy (eV per atom) = -2.974
- density of states at the Fermi level (states/eV/cell) = 2.9

Unit cell a=5.7510 b=5.7510 c=9.6493 alpha=114.41 beta=114.41 gamma=51.03
Last column: nearest neighbours and their distance in Å.
Sites, in units of the cell vectors:
Li  0.0983  0.0983  0.2746  8 Au 2.70-2.93
Li  0.2964  0.2964  0.8576  5 Au 2.61-2.84
Li  0.7036  0.7036  0.1424  5 Au 2.61-2.84
Li  0.9017  0.9017  0.7254  8 Au 2.70-2.93
Zn  0.5000  0.5000  0.5000  6 Au 2.48-2.74
Au  0.0000  0.0000  0.5000  2 Zn 2.48, 2 Au 2.73
Au  0.1347  0.1347  0.0098  5 Li 2.69-2.75, 2 Au 2.72-2.73
Au  0.2893  0.2893  0.5837  4 Li 2.61-2.81, 1 Zn 2.66, 4 Au 2.73-2.86
Au  0.4281  0.4281  0.1890  4 Au 2.73-3.02, 1 Zn 2.74, 3 Li 2.84-2.93
Au  0.5719  0.5719  0.8110  4 Au 2.73-3.02, 1 Zn 2.74, 3 Li 2.84-2.93
Au  0.7107  0.7107  0.4163  4 Li 2.61-2.81, 1 Zn 2.66, 4 Au 2.73-2.86
Au  0.8653  0.8653  0.9902  5 Li 2.69-2.75, 2 Au 2.72-2.73

(3)
The following is a DFT calculation (PBE-GGA) of an optimized crystal structure of Sr2CdSeI.

## Properties
- VASP energy (eV per atom) = -2.411
- density of states at the Fermi level (states/eV/cell) = 4.1
- raw formation energy (meV per atom) = -548

Unit cell a=6.2856 b=6.2856 c=5.2062 alpha=90.00 beta=90.00 gamma=90.00
Last column: nearest neighbours and their distance in Å.
Sites, in units of the cell vectors:
Sr  0.0000  0.5000  0.0000  2 Cd 3.14
Sr  0.5000  0.0000  0.0000  2 Cd 3.14
Cd  0.0000  0.0000  0.0000  2 Se 2.60
Se  0.0000  0.0000  0.5000  2 Cd 2.60
I  0.5000  0.5000  0.5000  8 Sr 4.08, 4 Se 4.44

(4)
The following is a DFT calculation (PBE-GGA) of an optimized crystal structure of InGa2OsF.

## Properties
- VASP energy (eV per atom) = -3.988
- density of states at the Fermi level (states/eV/cell) = 2.8
- raw formation energy (meV per atom) = 390

Unit cell a=4.6594 b=4.6594 c=4.1887 alpha=90.00 beta=90.00 gamma=90.00
Last column: nearest neighbours and their distance in Å.
Sites, in units of the cell vectors:
In  0.0000  0.0000  0.0000  8 Ga 3.13, 4 Os 3.29
Ga  0.0000  0.5000  0.5000  2 F 2.33
Ga  0.5000  0.0000  0.5000  2 F 2.33
Os  0.5000  0.5000  0.0000  2 F 2.09
F  0.5000  0.5000  0.5000  2 Os 2.09, 4 Ga 2.33

(5)
The following is a DFT calculation (PBE-GGA) of an optimized crystal structure of BeSi3Pd.

## Properties
- VASP energy (eV per atom) = -4.048
- density of states at the Fermi level (states/eV/cell) = 2.2
- raw formation energy (meV per atom) = 990
- E above lowest polymorph (meV per atom) = 399

Unit cell a=4.6716 b=4.6716 c=4.6716 alpha=90.00 beta=90.00 gamma=90.00
Last column: nearest neighbours and their distance in Å.
Sites, in units of the cell vectors:
Be  0.0000  0.0000  0.0000  12 Si 3.30
Si  0.0000  0.5000  0.5000  2 Pd 2.34
Si  0.5000  0.0000  0.5000  2 Pd 2.34
Si  0.5000  0.5000  0.0000  2 Pd 2.34
Pd  0.5000  0.5000  0.5000  6 Si 2.34

(6)
The following is a DFT calculation (PBE-GGA) of an optimized crystal structure of HgP2OsO.

## Properties
- VASP energy (eV per atom) = -3.644
- density of states at the Fermi level (states/eV/cell) = 5.3
- raw formation energy (meV per atom) = 1818
- E above lowest polymorph (meV per atom) = 1635

Unit cell a=4.9265 b=4.9265 c=3.9547 alpha=90.00 beta=90.00 gamma=90.00
Last column: nearest neighbours and their distance in Å.
Sites, in units of the cell vectors:
Hg  0.0000  0.0000  0.0000  2 O 1.98
P  0.0000  0.5000  0.0000  2 Hg 2.46
P  0.5000  0.0000  0.0000  2 Hg 2.46
Os  0.5000  0.5000  0.5000  8 P 3.16, 4 O 3.48
O  0.0000  0.0000  0.5000  2 Hg 1.98

(7)
The following is a DFT calculation (PBE-GGA) of an optimized crystal structure of MoAuSe2.

## Properties
- VASP energy (eV per atom) = -5.298
- density of states at the Fermi level (states/eV/cell) = 1.4
- raw formation energy (meV per atom) = -28
- E above lowest polymorph (meV per atom) = 143

Unit cell a=3.0164 b=3.0164 c=9.2263 alpha=90.00 beta=90.00 gamma=90.00
Last column: nearest neighbours and their distance in Å.
Sites, in units of the cell vectors:
Mo  0.0000  0.0000  0.0000  8 Se 2.66
Au  0.0000  0.0000  0.5000  4 Au 3.02
Se  0.5000  0.5000  0.1717  4 Mo 2.66
Se  0.5000  0.5000  0.8283  4 Mo 2.66

(8)
The following is a DFT calculation (PBE-GGA) of an optimized crystal structure of Cu3Au2.

## Properties
- energy of formation (meV per atom) = 65
- VASP energy (eV per atom) = -3.704
- density of states at the Fermi level (states/eV/cell) = 1.6
- E above lowest polymorph (meV per atom) = 94

Unit cell a=10.5736 b=10.5736 c=10.5736 alpha=15.59 beta=15.59 gamma=15.59
Last column: nearest neighbours and their distance in Å.
Sites, in units of the cell vectors:
Cu  0.0000  0.0000  0.0000  6 Au 2.70, 6 Cu 2.87
Cu  0.1965  0.1965  0.1965  3 Cu 2.50, 3 Au 2.72
Cu  0.8035  0.8035  0.8035  3 Cu 2.50, 3 Au 2.72
Au  0.4013  0.4013  0.4013  6 Cu 2.70-2.72, 6 Au 2.87
Au  0.5987  0.5987  0.5987  6 Cu 2.70-2.72, 6 Au 2.87